(1)
This record from Alexandria describes CoCu2Te after structural relaxation. The functional is PBE.

Structure (POSCAR):
```
CoCu2Te
1.0
8.711 0.059 0.035
8.183 2.989 0.035
8.183 1.476 2.599
Cu Co Te
2 1 1
direct
0.012 0.012 0.012 Cu
0.488 0.488 0.488 Cu
0.750 0.750 0.750 Co
0.250 0.250 0.250 Te
```

ΔE_f (raw)   586.3 meV per atom
Space-group type   R-3m, No. 166
DFT total energy   -4.024 eV/atom

=====

(2)
This record from Alexandria describes PmInAu4 after structural relaxation. The functional is PBE.

Structure (POSCAR):
```
PmInAu4
1.0
4.617 0.070 0.239
-0.074 4.332 0.793
0.370 1.003 6.716
Au In Pm
4 1 1
direct
0.985 0.167 0.900 Au
0.967 0.497 0.247 Au
0.549 0.987 0.270 Au
0.488 0.326 0.594 Au
0.030 0.853 0.543 In
0.488 0.653 0.935 Pm
```

Space-group type   P1, No. 1
E_form   -0.422 eV/atom
DFT total energy   -3.855 eV/atom

=====

(3)
This record from Alexandria describes KNa8Pb2 after structural relaxation. The functional is PBE.

Structure (POSCAR):
```
KNa8Pb2
1.0
5.835 -0.075 -1.678
-1.132 6.267 -2.631
-0.011 0.730 10.089
Na Pb K
8 2 1
direct
0.276 0.341 0.311 Na
0.261 0.796 0.279 Na
0.811 0.425 0.910 Na
0.744 0.005 0.169 Na
0.891 0.423 0.540 Na
0.484 0.743 0.648 Na
0.878 0.937 0.507 Na
0.345 0.550 0.909 Na
0.714 0.517 0.217 Pb
0.408 0.208 0.602 Pb
0.189 0.055 0.909 K
```

Space-group type   P1, No. 1
E_form   -0.063 eV/atom
DFT total energy   -1.797 eV/atom